1.
Entry from Alexandria via LeMat-Bulk: a geometry-optimized NaCr2OsO8 structure (PBE with a Hubbard U).

a = 4.642 Å, b = 6.180 Å, c = 4.676 Å
α = 90.00°, β = 91.11°, γ = 90.00°
Sites, in units of the cell vectors:
Na1 0.000 0.000 0.000
Cr1 0.500 0.240 0.500
Cr2 0.500 0.760 0.500
Os1 0.000 0.500 0.000
O1 0.206 0.290 0.199
O2 0.206 0.710 0.199
O3 0.290 0.500 0.704
O4 0.320 0.000 0.672
O5 0.680 0.000 0.328
O6 0.710 0.500 0.296
O7 0.794 0.290 0.801
O8 0.794 0.710 0.801

Raw total energy (eV per atom): -6.889
Calculated volume (A^3/atom): 11.2
Space-group type: P2/m (10)

2.
Entry from Alexandria via LeMat-Bulk: a geometry-optimized NaCrP2O7 structure (PBE with a Hubbard U).

a = 7.395 Å, b = 7.995 Å, c = 9.614 Å
α = 90.00°, β = 111.63°, γ = 90.00°
Sites, in units of the cell vectors:
Na1 0.210 0.025 0.207
Na2 0.210 0.475 0.707
Na3 0.790 0.525 0.293
Na4 0.790 0.975 0.793
Cr1 0.242 0.007 0.752
Cr2 0.242 0.493 0.252
Cr3 0.758 0.507 0.748
Cr4 0.758 0.993 0.248
P1 0.172 0.710 0.953
P2 0.172 0.790 0.453
P3 0.427 0.245 0.046
P4 0.427 0.255 0.546
P5 0.573 0.745 0.454
P6 0.573 0.755 0.954
P7 0.828 0.210 0.547
P8 0.828 0.290 0.047
O1 0.033 0.587 0.846
O2 0.033 0.913 0.346
O3 0.138 0.606 0.400
O4 0.138 0.894 0.900
O5 0.189 0.700 0.116
O6 0.189 0.800 0.616
O7 0.313 0.213 0.879
O8 0.313 0.287 0.379
O9 0.314 0.136 0.605
O10 0.314 0.364 0.105
O11 0.377 0.653 0.939
O12 0.377 0.847 0.439
O13 0.488 0.085 0.140
O14 0.488 0.415 0.640
O15 0.512 0.585 0.360
O16 0.512 0.915 0.860
O17 0.623 0.153 0.561
O18 0.623 0.347 0.061
O19 0.686 0.636 0.895
O20 0.686 0.864 0.395
O21 0.687 0.713 0.621
O22 0.687 0.787 0.121
O23 0.811 0.200 0.384
O24 0.811 0.300 0.884
O25 0.862 0.106 0.100
O26 0.862 0.394 0.600
O27 0.967 0.087 0.654
O28 0.967 0.413 0.154

Raw total energy (eV per atom): -7.153
Calculated volume (A^3/atom): 12.0
Space-group type: P2_1/c (14)

3.
Entry from Alexandria via LeMat-Bulk: a geometry-optimized Na3Cr2P3O12 structure (PBE with a Hubbard U).

a = 8.788 Å, b = 8.788 Å, c = 8.885 Å
α = 120.00°, β = 120.00°, γ = 60.18°
Sites, in units of the cell vectors:
Na1 0.000 0.500 0.000
Na2 0.108 0.250 0.244
Na3 0.250 0.108 0.744
Na4 0.500 0.000 0.500
Na5 0.750 0.892 0.256
Na6 0.892 0.750 0.756
Cr1 0.148 0.642 0.440
Cr2 0.358 0.852 0.060
Cr3 0.642 0.148 0.940
Cr4 0.852 0.358 0.560
P1 0.043 0.957 0.250
P2 0.253 0.453 0.742
P3 0.453 0.253 0.242
P4 0.547 0.747 0.758
P5 0.747 0.547 0.258
P6 0.957 0.043 0.750
O1 0.020 0.132 0.424
O2 0.063 0.782 0.269
O3 0.085 0.434 0.744
O4 0.132 0.020 0.924
O5 0.206 0.466 0.555
O6 0.218 0.937 0.231
O7 0.272 0.419 0.258
O8 0.278 0.632 0.901
O9 0.368 0.722 0.599
O10 0.419 0.272 0.758
O11 0.434 0.085 0.244
O12 0.466 0.206 0.055
O13 0.534 0.794 0.945
O14 0.566 0.915 0.756
O15 0.581 0.728 0.242
O16 0.632 0.278 0.401
O17 0.722 0.368 0.099
O18 0.728 0.581 0.742
O19 0.782 0.063 0.769
O20 0.794 0.534 0.445
O21 0.868 0.980 0.076
O22 0.915 0.566 0.256
O23 0.937 0.218 0.731
O24 0.980 0.868 0.576

Raw total energy (eV per atom): -6.933
Calculated volume (A^3/atom): 12.1
Space-group type: C2/c (15)

4.
Entry from Alexandria via LeMat-Bulk: a geometry-optimized NaCrP2O6 structure (PBE with a Hubbard U).

a = 6.382 Å, b = 6.382 Å, c = 6.382 Å
α = 47.34°, β = 47.34°, γ = 47.34°
Sites, in units of the cell vectors:
Na1 0.000 0.000 0.000
Cr1 0.500 0.500 0.500
P1 0.258 0.258 0.258
P2 0.742 0.742 0.742
O1 0.075 0.719 0.492
O2 0.281 0.508 0.925
O3 0.492 0.075 0.719
O4 0.508 0.925 0.281
O5 0.719 0.492 0.075
O6 0.925 0.281 0.508

Raw total energy (eV per atom): -6.747
Calculated volume (A^3/atom): 12.9
Space-group type: R-3 (148)

5.
Entry from Alexandria via LeMat-Bulk: a geometry-optimized Na4Cr3PO8 structure (PBE with a Hubbard U).

a = 6.111 Å, b = 6.111 Å, c = 6.387 Å
α = 118.59°, β = 118.59°, γ = 61.76°
Sites, in units of the cell vectors:
Na1 0.000 0.000 0.000
Na2 0.000 0.500 0.000
Na3 0.500 0.000 0.000
Na4 0.500 0.500 0.000
Cr1 0.000 0.000 0.500
Cr2 0.000 0.500 0.500
Cr3 0.500 0.000 0.500
P1 0.500 0.500 0.500
O1 0.233 0.233 0.690
O2 0.290 0.691 0.686
O3 0.293 0.293 0.304
O4 0.309 0.710 0.314
O5 0.691 0.290 0.686
O6 0.707 0.707 0.696
O7 0.710 0.309 0.314
O8 0.767 0.767 0.310

Raw total energy (eV per atom): -6.260
Calculated volume (A^3/atom): 10.9
Space-group type: C2/m (12)

6.
Entry from Alexandria via LeMat-Bulk: a geometry-optimized NaCrPO2 structure (PBE with a Hubbard U).

a = 4.054 Å, b = 4.054 Å, c = 5.053 Å
α = 90.00°, β = 90.00°, γ = 90.00°
Sites, in units of the cell vectors:
Na1 0.000 0.000 0.000
Cr1 0.500 0.500 0.500
P1 0.000 0.000 0.500
O1 0.000 0.500 0.000
O2 0.500 0.000 0.000

ΔE to the lowest computed polymorph (eV per atom): 1.204
Calculated volume (A^3/atom): 16.6
Space-group type: P4/mmm (123)

| no. | D(E_F) (states/eV/cell) |
| --- | --- |
| 1 | 4.22 |
| 2 | 0.00 |
| 3 | 0.00 |
| 4 | 0.05 |
| 5 | 3.56 |
| 6 | 3.96 |